# AlCr2In, relaxed, DFT PBE
data_AlCr2In
_symmetry_space_group_name_H-M 'P m m 2'
_symmetry_Int_Tables_number 25
_cell_length_a 3.0156
_cell_length_b 4.3934
_cell_length_c 4.8671
_cell_angle_alpha 90.00
_cell_angle_beta 90.00
_cell_angle_gamma 90.00
loop_
_symmetry_equiv_pos_as_xyz
'x,y,z'
'-x,-y,z'
'-x,y,z'
'x,-y,z'
loop_
_atom_site_label
_atom_site_fract_x
_atom_site_fract_y
_atom_site_fract_z
_atom_site_occupancy
Al1 0.0000 0.0000 0.0000 1
Cr1 0.5000 0.0000 0.5475 1
Cr2 0.5000 0.5000 0.8404 1
In1 0.0000 0.5000 0.3474 1
# * density of states at the Fermi level: 2.3 states/eV/f.u.
# * calculated total energy: -24.7 eV per cell
# * spin magnetization: 0.02 μB per formula unit
# * energy of formation from the pure elements: 0.2496 eV per atom

***

# Cs2As2H5, relaxed, DFT PBE
data_Cs2As2H5
_symmetry_space_group_name_H-M 'C 1 c 1'
_symmetry_Int_Tables_number 9
_cell_length_a 17.0200
_cell_length_b 5.9192
_cell_length_c 10.6669
_cell_angle_alpha 90.00
_cell_angle_beta 128.02
_cell_angle_gamma 90.00
loop_
_symmetry_equiv_pos_as_xyz
'x,y,z'
'x,-y,z+1/2'
'x+1/2,y+1/2,z'
'x+1/2,-y+1/2,z+1/2'
loop_
_atom_site_label
_atom_site_fract_x
_atom_site_fract_y
_atom_site_fract_z
_atom_site_occupancy
Cs1 0.0000 0.2320 0.0000 1
Cs2 0.2500 0.2575 0.6140 1
As1 0.1506 0.2212 0.8447 1
As2 0.3765 0.2745 0.0510 1
H1 0.0033 0.2747 0.3531 1
H2 0.0135 0.2017 0.6975 1
H3 0.1454 0.4579 0.7783 1
H4 0.3903 0.0225 0.0980 1
H5 0.4877 0.2354 0.9063 1
# * density of states at the Fermi level: 0.4 states/eV/f.u.
# * calculated total energy: -116.5 eV per cell
# * spin magnetization: 0.00 μB per formula unit
# * polymorph energy (0 for the lowest one): 0 meV/atom

***

# Hf2SnB, relaxed, DFT PBE
data_Hf2SnB
_symmetry_space_group_name_H-M 'I -4 2 d'
_symmetry_Int_Tables_number 122
_symmetry_space_group_name_Hall 'I -4 2bw'
_cell_length_a 7.0559
_cell_length_b 7.0559
_cell_length_c 6.1782
_cell_angle_alpha 90.00
_cell_angle_beta 90.00
_cell_angle_gamma 90.00
loop_
_atom_site_label
_atom_site_fract_x
_atom_site_fract_y
_atom_site_fract_z
_atom_site_occupancy
Hf1 0.1858 0.7500 0.1250 1
Sn1 0.0000 0.0000 0.5000 1
B1 0.0000 0.0000 0.0000 1
# * density of states at the Fermi level: 1.4 states/eV/f.u.
# * calculated total energy: -122.8 eV per cell
# * spin magnetization: 0.00 μB per formula unit
# * polymorph energy (0 for the lowest one): 534 meV/atom
# * energy of formation from the pure elements: -0.0267 eV per atom

***

# Li3YPb6, relaxed, DFT PBE
data_Li3YPb6
_symmetry_space_group_name_H-M 'P 1 21/m 1'
_symmetry_Int_Tables_number 11
_cell_length_a 9.7501
_cell_length_b 4.8935
_cell_length_c 10.9685
_cell_angle_alpha 90.00
_cell_angle_beta 97.65
_cell_angle_gamma 90.00
loop_
_symmetry_equiv_pos_as_xyz
'x,y,z'
'-x,-y,-z'
'-x,y+1/2,-z'
'x,-y+1/2,z'
loop_
_atom_site_label
_atom_site_fract_x
_atom_site_fract_y
_atom_site_fract_z
_atom_site_occupancy
Li1 0.0649 0.2500 0.4123 1
Li2 0.1684 0.7500 0.1850 1
Li3 0.2436 0.2500 0.9755 1
Y1 0.4300 0.2500 0.6105 1
Pb1 0.0203 0.7500 0.8902 1
Pb2 0.0977 0.2500 0.6944 1
Pb3 0.2336 0.7500 0.4783 1
Pb4 0.3248 0.7500 0.7965 1
Pb5 0.3382 0.2500 0.2930 1
Pb6 0.4460 0.7500 0.0902 1
# * density of states at the Fermi level: 3.3 states/eV/f.u.
# * calculated total energy: -73.7 eV per cell
# * spin magnetization: 0.00 μB per formula unit
# * energy of formation from the pure elements: -0.2412 eV per atom

***

# Tb3Y6Sc, relaxed, DFT PBE
data_Tb3Y6Sc
_symmetry_space_group_name_H-M 'C m c 21'
_symmetry_Int_Tables_number 36
_cell_length_a 10.8721
_cell_length_b 18.8777
_cell_length_c 6.2255
_cell_angle_alpha 90.00
_cell_angle_beta 90.00
_cell_angle_gamma 90.00
loop_
_symmetry_equiv_pos_as_xyz
'x,y,z'
'-x,-y,z+1/2'
'-x,y,z'
'x,-y,z+1/2'
'x+1/2,y+1/2,z'
'-x+1/2,-y+1/2,z+1/2'
'-x+1/2,y+1/2,z'
'x+1/2,-y+1/2,z+1/2'
loop_
_atom_site_label
_atom_site_fract_x
_atom_site_fract_y
_atom_site_fract_z
_atom_site_occupancy
Tb1 0.0000 0.1118 0.0000 1
Tb2 0.1664 0.3883 0.6172 1
Y1 0.0000 0.2228 0.4201 1
Y2 0.0000 0.4513 0.1546 1
Y3 0.1646 0.0451 0.5261 1
Y4 0.2427 0.2090 0.7108 1
Sc1 0.0000 0.2947 0.9324 1
# * density of states at the Fermi level: 15.4 states/eV/f.u.
# * calculated total energy: -230.4 eV per cell
# * spin magnetization: 0.00 μB per formula unit
# * polymorph energy (0 for the lowest one): 0 meV/atom
# * energy of formation from the pure elements: 0.1409 eV per atom

***

# Ho2Pd6Au, relaxed, DFT PBE
data_Ho2Pd6Au
_symmetry_space_group_name_H-M 'P -3 m 1'
_symmetry_Int_Tables_number 164
_symmetry_space_group_name_Hall '-P 3 2"'
_cell_length_a 5.6364
_cell_length_b 5.6364
_cell_length_c 6.1699
_cell_angle_alpha 90.00
_cell_angle_beta 90.00
_cell_angle_gamma 120.00
loop_
_atom_site_label
_atom_site_fract_x
_atom_site_fract_y
_atom_site_fract_z
_atom_site_occupancy
Ho1 0.3333 0.6667 0.3295 1
Pd1 0.1750 0.3499 0.8266 1
Au1 0.0000 0.0000 0.5000 1
# * density of states at the Fermi level: 3.9 states/eV/f.u.
# * calculated total energy: -49.2 eV per cell
# * spin magnetization: 0.00 μB per formula unit
# * polymorph energy (0 for the lowest one): 60 meV/atom
# * energy of formation from the pure elements: -0.6202 eV per atom